1.
First-principles (PBE) data for an optimized crystal structure of Li2YZrIn, as listed in Alexandria.

Results
- formation energy (meV per atom) = 697
- total DFT energy (no corrections) (eV/cell) = -18.09

abc: 4.9472 4.9472 5.5432
angles: 90.00 90.00 90.00
Closest atoms and distances in Å follow each position.
Space group P4/mmm (No. 123)
Unique sites:
1 Li 0.0000 0.5000 0.0000 [2 per cell]  2 Zr 2.47
2 Y 0.0000 0.0000 0.5000 [1 per cell]  4 In 3.50, 8 Li 3.71
3 Zr 0.5000 0.5000 0.0000 [1 per cell]  4 Li 2.47
4 In 0.5000 0.5000 0.5000 [1 per cell]  2 Zr 2.77

***

2.
First-principles (PBE) data for an optimized crystal structure of Li2YbIn, as listed in Alexandria.

Results
- formation energy (meV per atom) = -262
- total DFT energy (no corrections) (eV/cell) = -18.28

abc: 8.6420 4.9868 4.9867
angles: 90.00 125.13 90.00
Closest atoms and distances in Å follow each position.
Space group C2/m (No. 12)
Unique sites:
1 Li 0.2500 0.0000 0.2500 [4 per cell]  4 In 3.05-3.06, 4 Yb 3.05-3.06
2 Yb 0.0000 0.0000 0.5000 [2 per cell]  8 Li 3.05-3.06
3 In 0.0000 0.5000 0.0000 [2 per cell]  8 Li 3.05-3.06

***

3.
First-principles (PBE) data for an optimized crystal structure of LiYb2In, as listed in Alexandria.

Results
- formation energy (meV per atom) = -280
- total DFT energy (no corrections) (eV/cell) = -35.30

abc: 7.6837 7.6837 7.6837
angles: 90.00 90.00 90.00
Closest atoms and distances in Å follow each position.
Space group Fm-3m (No. 225)
Unique sites:
1 Li 0.0000 0.0000 0.0000 [4 per cell]  8 Yb 3.33
2 Yb 0.2500 0.2500 0.2500 [8 per cell]  4 Li 3.33, 4 In 3.33
3 In 0.0000 0.0000 0.5000 [4 per cell]  8 Yb 3.33

***

4.
First-principles (PBE) data for an optimized crystal structure of Li6ZnIn2, as listed in Alexandria.

Results
- formation energy (meV per atom) = -230
- total DFT energy (no corrections) (eV/cell) = -60.91

abc: 8.0213 8.0213 8.4801
angles: 90.00 90.00 120.00
Closest atoms and distances in Å follow each position.
Space group R-3m (No. 166, hexagonal axes)
Unique sites:
1 Li 0.0000 0.3329 0.0000 [18 per cell]  5 Li 2.67-2.83
2 Zn 0.0000 0.0000 0.5000 [3 per cell]  2 In 2.75, 12 Li 3.03
3 In 0.0000 0.0000 0.1756 [6 per cell]  1 Zn 2.75, 1 In 2.98, 12 Li 2.99-3.06

***

5.
First-principles (PBE) data for an optimized crystal structure of LiZn2In, as listed in Alexandria.

Results
- formation energy (meV per atom) = -81
- total DFT energy (no corrections) (eV/cell) = -15.05

abc: 9.2310 3.0712 5.0833
angles: 90.00 98.41 90.00
Closest atoms and distances in Å follow each position.
Space group C2/m (No. 12)
Unique sites:
1 Li 0.0000 0.0000 0.0000 [2 per cell]  6 Zn 2.77-2.81, 4 In 2.97, 2 Li 3.07
2 Zn 0.2428 0.5000 0.2219 [4 per cell]  4 Zn 2.75-3.07, 3 Li 2.77-2.81, 3 In 2.82-3.00
3 In 0.0000 0.5000 0.5000 [2 per cell]  6 Zn 2.82-3.00, 4 Li 2.97, 2 In 3.07

***

6.
First-principles (PBE) data for an optimized crystal structure of LiZn10In, as listed in Alexandria.

Results
- formation energy (meV per atom) = 10
- total DFT energy (no corrections) (eV/cell) = -17.27

abc: 4.2972 5.2988 9.0679
angles: 90.00 90.00 90.00
Closest atoms and distances in Å follow each position.
Space group Pmmm (No. 47)
Unique sites:
1 Li 0.0000 0.0000 0.0000 [1 per cell]  6 Zn 2.95-3.02
2 Zn 0.0000 0.0000 0.3256 [2 per cell]  6 Zn 2.62-2.67
3 Zn 0.0000 0.5000 0.1598 [2 per cell]  7 Zn 2.59-2.90
4 Zn 0.5000 0.0000 0.5000 [1 per cell]  8 Zn 2.67
5 Zn 0.5000 0.2446 0.2423 [4 per cell]  8 Zn 2.58-2.71
6 Zn 0.5000 0.5000 0.0000 [1 per cell]  8 Zn 2.58-2.59
7 In 0.0000 0.5000 0.5000 [1 per cell]  18 Zn 3.09-3.45

***

7.
First-principles (PBE) data for an optimized crystal structure of Li2ZnIn2, as listed in Alexandria.

Results
- formation energy (meV per atom) = -80
- total DFT energy (no corrections) (eV/cell) = -21.96

abc: 7.3584 7.3584 3.6126
angles: 90.00 90.00 90.00
Closest atoms and distances in Å follow each position.
Space group P4/mbm (No. 127)
Unique sites:
1 Li 0.1410 0.3590 0.0000 [4 per cell]  6 In 2.74-2.87, 2 Zn 2.84, 1 Li 2.93
2 Zn 0.0000 0.0000 0.0000 [2 per cell]  4 Li 2.84
3 In 0.1610 0.6610 0.5000 [4 per cell]  6 Li 2.74-2.87

***

8.
First-principles (PBE) data for an optimized crystal structure of LiZnIn4, as listed in Alexandria.

Results
- formation energy (meV per atom) = 144
- total DFT energy (no corrections) (eV/cell) = -53.12

abc: 8.6286 8.6286 8.6286
angles: 90.00 90.00 90.00
Closest atoms and distances in Å follow each position.
Space group F-43m (No. 216)
Unique sites:
1 Li 0.0000 0.0000 0.0000 [4 per cell]  12 In 3.58, 4 Zn 3.74
2 Zn 0.2500 0.2500 0.7500 [4 per cell]  12 In 3.58, 4 Li 3.74
3 In 0.1251 0.1251 0.3749 [16 per cell]  6 In 3.05

***

Which value of total DFT energy (no corrections) does entry 1 give?
-18.09 eV/cell

***

Which formula does entry 8 have?
LiZnIn4